Entry 1:
A plane-wave DFT calculation with PBE was carried out for Li3Pm5Se8 after structural relaxation.

Geometry as CIF:
```
data_Li3Pm5Se8
_chemical_formula_sum 'Li9 Pm15 Se24'
_cell_length_a 8.3032
_cell_length_b 8.3032
_cell_length_c 20.1035
_cell_angle_alpha 90.00
_cell_angle_beta 90.00
_cell_angle_gamma 120.00
_space_group_name_H-M_alt 'R -3 m'
_space_group_IT_number 166
_space_group_name_Hall '-R 3 2"'
loop_
_atom_site_label
_atom_site_fract_x
_atom_site_fract_y
_atom_site_fract_z
_atom_site_occupancy
Li1 0.0000 0.5000 0.0000 1
Pm1 0.0000 0.0000 0.0000 1
Pm2 0.0000 0.0000 0.5000 1
Pm3 0.0000 0.5000 0.5000 1
Se1 0.0000 0.0000 0.2527 1
Se2 0.0062 0.5031 0.2531 1
```

***

Entry 2:
A plane-wave DFT calculation with PBE was carried out for LiPm4Se7 after structural relaxation.

Geometry as CIF:
```
data_LiPm4Se7
_chemical_formula_sum 'Li2 Pm8 Se14'
_cell_length_a 13.5191
_cell_length_b 4.0808
_cell_length_c 12.1724
_cell_angle_alpha 90.00
_cell_angle_beta 105.39
_cell_angle_gamma 90.00
_space_group_name_H-M_alt 'C 1 m 1'
_space_group_IT_number 8
loop_
_space_group_symop_operation_xyz
'x,y,z'
'x,-y,z'
'x+1/2,y+1/2,z'
'x+1/2,-y+1/2,z'
loop_
_atom_site_label
_atom_site_fract_x
_atom_site_fract_y
_atom_site_fract_z
_atom_site_occupancy
Li1 0.0000 0.0000 0.0000 1
Pm1 0.1085 0.0000 0.4208 1
Pm2 0.2381 0.0000 0.8672 1
Pm3 0.3017 0.5000 0.2100 1
Pm4 0.4164 0.0000 0.6237 1
Se1 0.0771 0.0000 0.6480 1
Se2 0.1288 0.5000 0.9544 1
Se3 0.1459 0.0000 0.2015 1
Se4 0.2713 0.5000 0.4763 1
Se5 0.3612 0.5000 0.7836 1
Se6 0.3895 0.0000 0.0817 1
Se7 0.4474 0.0000 0.3755 1
```

***

Entry 3:
A plane-wave DFT calculation with PBE was carried out for LiPm4Se4 after structural relaxation.

Geometry as CIF:
```
data_LiPm4Se4
_chemical_formula_sum 'Li2 Pm8 Se8'
_cell_length_a 12.9384
_cell_length_b 5.8513
_cell_length_c 9.1382
_cell_angle_alpha 90.00
_cell_angle_beta 134.94
_cell_angle_gamma 90.00
_space_group_name_H-M_alt 'C 1 2/m 1'
_space_group_IT_number 12
loop_
_space_group_symop_operation_xyz
'x,y,z'
'-x,-y,-z'
'-x,y,-z'
'x,-y,z'
'x+1/2,y+1/2,z'
'-x+1/2,-y+1/2,-z'
'-x+1/2,y+1/2,-z'
'x+1/2,-y+1/2,z'
loop_
_atom_site_label
_atom_site_fract_x
_atom_site_fract_y
_atom_site_fract_z
_atom_site_occupancy
Li1 0.0000 0.0000 0.0000 1
Pm1 0.0962 0.5000 0.3941 1
Pm2 0.2013 0.0000 0.7980 1
Se1 0.0930 0.0000 0.3792 1
Se2 0.2131 0.5000 0.8058 1
```

***

Entry 4:
A plane-wave DFT calculation with PBE was carried out for Li2PmSiSe4 after structural relaxation.

Geometry as CIF:
```
data_Li2PmSiSe4
_chemical_formula_sum 'Li8 Pm4 Si4 Se16'
_cell_length_a 7.6803
_cell_length_b 8.1820
_cell_length_c 11.2663
_cell_angle_alpha 90.00
_cell_angle_beta 90.00
_cell_angle_gamma 90.00
_space_group_name_H-M_alt 'I m m a'
_space_group_IT_number 74
_space_group_name_Hall '-I 2b 2'
loop_
_atom_site_label
_atom_site_fract_x
_atom_site_fract_y
_atom_site_fract_z
_atom_site_occupancy
Li1 0.0000 0.0000 0.0000 1
Li2 0.2500 0.2500 0.2500 1
Pm1 0.0000 0.0000 0.5000 1
Si1 0.2500 0.2500 0.7500 1
Se1 0.0000 0.0251 0.7576 1
Se2 0.2354 0.2500 0.9878 1
```

***

Entry 5:
A plane-wave DFT calculation with PBE was carried out for Li3PmSm2Se6 after structural relaxation.

Geometry as CIF:
```
data_Li3PmSm2Se6
_chemical_formula_sum 'Li6 Pm2 Sm4 Se12'
_cell_length_a 7.2104
_cell_length_b 12.4913
_cell_length_c 6.9486
_cell_angle_alpha 90.00
_cell_angle_beta 110.21
_cell_angle_gamma 90.00
_space_group_name_H-M_alt 'C 1 2/m 1'
_space_group_IT_number 12
loop_
_space_group_symop_operation_xyz
'x,y,z'
'-x,-y,-z'
'-x,y,-z'
'x,-y,z'
'x+1/2,y+1/2,z'
'-x+1/2,-y+1/2,-z'
'-x+1/2,y+1/2,-z'
'x+1/2,-y+1/2,z'
loop_
_atom_site_label
_atom_site_fract_x
_atom_site_fract_y
_atom_site_fract_z
_atom_site_occupancy
Li1 0.0000 0.0000 0.0000 1
Li2 0.0000 0.3326 0.0000 1
Pm1 0.0000 0.5000 0.5000 1
Sm1 0.0000 0.1666 0.5000 1
Se1 0.2470 0.1673 0.2424 1
Se2 0.2487 0.5000 0.2420 1
```

***

Entry 6:
A plane-wave DFT calculation with PBE was carried out for Li2PmSm3Se6 after structural relaxation.

Geometry as CIF:
```
data_Li2PmSm3Se6
_chemical_formula_sum 'Li4 Pm2 Sm6 Se12'
_cell_length_a 7.1449
_cell_length_b 12.3721
_cell_length_c 7.1456
_cell_angle_alpha 90.00
_cell_angle_beta 109.55
_cell_angle_gamma 90.00
_space_group_name_H-M_alt 'C 1 2/m 1'
_space_group_IT_number 12
loop_
_space_group_symop_operation_xyz
'x,y,z'
'-x,-y,-z'
'-x,y,-z'
'x,-y,z'
'x+1/2,y+1/2,z'
'-x+1/2,-y+1/2,-z'
'-x+1/2,y+1/2,-z'
'x+1/2,-y+1/2,z'
loop_
_atom_site_label
_atom_site_fract_x
_atom_site_fract_y
_atom_site_fract_z
_atom_site_occupancy
Li1 0.0000 0.1678 0.0000 1
Pm1 0.0000 0.5000 0.0000 1
Sm1 0.0000 0.0000 0.5000 1
Sm2 0.0000 0.3345 0.5000 1
Se1 0.2385 0.0000 0.2409 1
Se2 0.2489 0.1708 0.7585 1
```

***

Entry 7:
A plane-wave DFT calculation with PBE was carried out for LiPm2SmSe5 after structural relaxation.

Geometry as CIF:
```
data_LiPm2SmSe5
_chemical_formula_sum 'Li4 Pm8 Sm4 Se20'
_cell_length_a 4.1495
_cell_length_b 17.3397
_cell_length_c 12.5135
_cell_angle_alpha 90.00
_cell_angle_beta 90.00
_cell_angle_gamma 90.00
_space_group_name_H-M_alt 'C m c 21'
_space_group_IT_number 36
loop_
_space_group_symop_operation_xyz
'x,y,z'
'-x,-y,z+1/2'
'-x,y,z'
'x,-y,z+1/2'
'x+1/2,y+1/2,z'
'-x+1/2,-y+1/2,z+1/2'
'-x+1/2,y+1/2,z'
'x+1/2,-y+1/2,z+1/2'
loop_
_atom_site_label
_atom_site_fract_x
_atom_site_fract_y
_atom_site_fract_z
_atom_site_occupancy
Li1 0.0000 0.0125 0.0000 1
Pm1 0.0000 0.3768 0.8133 1
Pm2 0.0000 0.3914 0.2018 1
Sm1 0.0000 0.3043 0.5178 1
Se1 0.0000 0.0014 0.8025 1
Se2 0.0000 0.1368 0.5155 1
Se3 0.0000 0.1919 0.8545 1
Se4 0.0000 0.2124 0.1808 1
Se5 0.0000 0.4557 0.5919 1
```

***

Entry 8:
A plane-wave DFT calculation with PBE was carried out for LiPmSmSe3 after structural relaxation.

Geometry as CIF:
```
data_LiPmSmSe3
_chemical_formula_sum 'Li2 Pm2 Sm2 Se6'
_cell_length_a 8.5742
_cell_length_b 4.0311
_cell_length_c 8.8817
_cell_angle_alpha 90.00
_cell_angle_beta 102.28
_cell_angle_gamma 90.00
_space_group_name_H-M_alt 'P 1 21/m 1'
_space_group_IT_number 11
loop_
_space_group_symop_operation_xyz
'x,y,z'
'-x,-y,-z'
'-x,y+1/2,-z'
'x,-y+1/2,z'
loop_
_atom_site_label
_atom_site_fract_x
_atom_site_fract_y
_atom_site_fract_z
_atom_site_occupancy
Li1 0.0855 0.2500 0.0843 1
Pm1 0.1840 0.2500 0.7222 1
Sm1 0.3371 0.7500 0.3345 1
Se1 0.0917 0.2500 0.3699 1
Se2 0.2160 0.7500 0.9933 1
Se3 0.4219 0.7500 0.6757 1
```

***

Entry 9:
A plane-wave DFT calculation with PBE was carried out for LiPm3Sm2Se6 after structural relaxation.

Geometry as CIF:
```
data_LiPm3Sm2Se6
_chemical_formula_sum 'Li2 Pm6 Sm4 Se12'
_cell_length_a 7.1783
_cell_length_b 12.4753
_cell_length_c 7.2136
_cell_angle_alpha 90.00
_cell_angle_beta 109.59
_cell_angle_gamma 90.00
_space_group_name_H-M_alt 'C 1 2/m 1'
_space_group_IT_number 12
loop_
_space_group_symop_operation_xyz
'x,y,z'
'-x,-y,-z'
'-x,y,-z'
'x,-y,z'
'x+1/2,y+1/2,z'
'-x+1/2,-y+1/2,-z'
'-x+1/2,y+1/2,-z'
'x+1/2,-y+1/2,z'
loop_
_atom_site_label
_atom_site_fract_x
_atom_site_fract_y
_atom_site_fract_z
_atom_site_occupancy
Li1 0.0000 0.0000 0.0000 1
Pm1 0.0000 0.1678 0.5000 1
Pm2 0.0000 0.5000 0.5000 1
Sm1 0.0000 0.3347 0.0000 1
Se1 0.2407 0.0000 0.7595 1
Se2 0.2411 0.1613 0.2413 1
```

***

Entry 10:
A plane-wave DFT calculation with PBE was carried out for LiPmSm2Se5 after structural relaxation.

Geometry as CIF:
```
data_LiPmSm2Se5
_chemical_formula_sum 'Li4 Pm4 Sm8 Se20'
_cell_length_a 4.1421
_cell_length_b 17.3203
_cell_length_c 12.5159
_cell_angle_alpha 90.00
_cell_angle_beta 90.00
_cell_angle_gamma 90.00
_space_group_name_H-M_alt 'C m c 21'
_space_group_IT_number 36
loop_
_space_group_symop_operation_xyz
'x,y,z'
'-x,-y,z+1/2'
'-x,y,z'
'x,-y,z+1/2'
'x+1/2,y+1/2,z'
'-x+1/2,-y+1/2,z+1/2'
'-x+1/2,y+1/2,z'
'x+1/2,-y+1/2,z+1/2'
loop_
_atom_site_label
_atom_site_fract_x
_atom_site_fract_y
_atom_site_fract_z
_atom_site_occupancy
Li1 0.0000 0.0123 0.0000 1
Pm1 0.0000 0.3047 0.5169 1
Sm1 0.0000 0.3773 0.8123 1
Sm2 0.0000 0.3912 0.2012 1
Se1 0.0000 0.0015 0.8026 1
Se2 0.0000 0.1364 0.5157 1
Se3 0.0000 0.1917 0.8525 1
Se4 0.0000 0.2118 0.1814 1
Se5 0.0000 0.4564 0.5927 1
```

***

Entry 11:
A plane-wave DFT calculation with PBE was carried out for Li2Pm3SmSe6 after structural relaxation.

Geometry as CIF:
```
data_Li2Pm3SmSe6
_chemical_formula_sum 'Li4 Pm6 Sm2 Se12'
_cell_length_a 7.1615
_cell_length_b 12.4030
_cell_length_c 7.1503
_cell_angle_alpha 90.00
_cell_angle_beta 109.56
_cell_angle_gamma 90.00
_space_group_name_H-M_alt 'C 1 2/m 1'
_space_group_IT_number 12
loop_
_space_group_symop_operation_xyz
'x,y,z'
'-x,-y,-z'
'-x,y,-z'
'x,-y,z'
'x+1/2,y+1/2,z'
'-x+1/2,-y+1/2,-z'
'-x+1/2,y+1/2,-z'
'x+1/2,-y+1/2,z'
loop_
_atom_site_label
_atom_site_fract_x
_atom_site_fract_y
_atom_site_fract_z
_atom_site_occupancy
Li1 0.0000 0.1680 0.0000 1
Pm1 0.0000 0.0000 0.5000 1
Pm2 0.0000 0.3342 0.5000 1
Sm1 0.0000 0.5000 0.0000 1
Se1 0.2390 0.0000 0.2389 1
Se2 0.2502 0.1702 0.7610 1
```

***

Entry 12:
A plane-wave DFT calculation with PBE was carried out for LiPmSm2Se4 after structural relaxation.

Geometry as CIF:
```
data_LiPmSm2Se4
_chemical_formula_sum 'Li1 Pm1 Sm2 Se4'
_cell_length_a 7.1775
_cell_length_b 4.1401
_cell_length_c 7.1796
_cell_angle_alpha 90.00
_cell_angle_beta 109.36
_cell_angle_gamma 90.00
_space_group_name_H-M_alt 'P 1 2/m 1'
_space_group_IT_number 10
loop_
_space_group_symop_operation_xyz
'x,y,z'
'-x,-y,-z'
'-x,y,-z'
'x,-y,z'
loop_
_atom_site_label
_atom_site_fract_x
_atom_site_fract_y
_atom_site_fract_z
_atom_site_occupancy
Li1 0.0000 0.0000 0.0000 1
Pm1 0.0000 0.5000 0.5000 1
Sm1 0.5000 0.0000 0.5000 1
Sm2 0.5000 0.5000 0.0000 1
Se1 0.2424 0.5000 0.2412 1
Se2 0.2453 0.0000 0.7573 1
```

***

Formation energy (no corrections) for the records above, in order: -1.724 -1.657 -1.520 -1.049 -1.676 -1.738 -1.732 -1.672 -1.794 -1.717 -1.739 -1.765 eV per atom
Total DFT energy (no corrections) for the records above, in order: -5.309 -5.432 -5.393 -4.541 -5.079 -5.374 -5.461 -5.311 -5.670 -5.442 -5.381 -5.520 eV per atom